No. 1
A geometry-optimized SmAgTeS structure. Source: Alexandria via LeMat-Bulk, functional PBE-GGA.

Unit cell a=4.576 b=4.576 c=9.772 alpha=90.00 beta=90.00 gamma=90.00
Space group P4/nmm (No. 129, origin choice 2)
Inequivalent atoms, fractional coordinates:
Sm: 0.250 0.250 0.155 (multiplicity 2)
Ag: 0.250 0.750 0.500 (multiplicity 2)
Te: 0.250 0.250 0.687 (multiplicity 2)
S: 0.250 0.750 0.000 (multiplicity 2)

## Properties
- Raw formation energy: -1.11 eV/atom

***

No. 2
A geometry-optimized LiTcGe2 structure. Source: Alexandria via LeMat-Bulk, functional PBE-GGA.

Unit cell a=3.207 b=3.207 c=5.693 alpha=90.00 beta=90.00 gamma=90.00
Space group P4/mmm (No. 123)
Inequivalent atoms, fractional coordinates:
Li: 0.000 0.000 0.000 (multiplicity 1)
Tc: 0.000 0.000 0.500 (multiplicity 1)
Ge: 0.500 0.500 0.253 (multiplicity 2)

## Properties
- Energy relative to the elements: -0.182 eV/atom
- Energy above the lowest structure with this stoichiometry: 0.00 eV per formula unit
- DOS(E_F): 0.220 states/eV/atom

***

No. 3
A geometry-optimized RbTa3Cd structure. Source: Alexandria via LeMat-Bulk, functional PBE-GGA.

Unit cell a=4.826 b=4.826 c=4.826 alpha=90.00 beta=90.00 gamma=90.00
Space group Pm-3m (No. 221)
Inequivalent atoms, fractional coordinates:
Rb: 0.000 0.000 0.000 (multiplicity 1)
Ta: 0.000 0.000 0.500 (multiplicity 3)
Cd: 0.500 0.500 0.500 (multiplicity 1)

## Properties
- Energy relative to the elements: 3.030 eV/atom
- Energy above the lowest structure with this stoichiometry: 2.74 eV per formula unit
- DOS(E_F): 0.633 states/eV/atom

***

No. 4
A geometry-optimized TeOsCN2 structure. Source: Alexandria via LeMat-Bulk, functional PBE-GGA.

Unit cell a=3.713 b=3.713 c=5.848 alpha=90.00 beta=90.00 gamma=90.00
Space group P4/mmm (No. 123)
Inequivalent atoms, fractional coordinates:
Te: 0.000 0.000 0.000 (multiplicity 1)
Os: 0.000 0.000 0.500 (multiplicity 1)
C: 0.500 0.500 0.000 (multiplicity 1)
N: 0.000 0.500 0.500 (multiplicity 2)

## Properties
- Energy above the lowest structure with this stoichiometry: 0.00 eV per formula unit
- DOS(E_F): 0.319 states/eV/atom
- Raw formation energy: 1.52 eV/atom

***

No. 5
A geometry-optimized Dy3Ni2P4 structure. Source: Alexandria via LeMat-Bulk, functional PBE-GGA.

Unit cell a=11.246 b=3.929 c=8.137 alpha=90.00 beta=116.60 gamma=90.00
Space group C2/m (No. 12)
Inequivalent atoms, fractional coordinates:
Dy: 0.000 0.000 0.000 (multiplicity 2)
Dy: 0.132 0.500 0.721 (multiplicity 4)
Ni: 0.184 0.500 0.385 (multiplicity 4)
P: 0.089 0.000 0.404 (multiplicity 4)
P: 0.188 0.500 0.107 (multiplicity 4)

## Properties
- Energy relative to the elements: -1.114 eV/atom
- DOS(E_F): 0.569 states/eV/atom

***

No. 6
A geometry-optimized Sm3Ho5Th3 structure. Source: Alexandria via LeMat-Bulk, functional PBE-GGA.

Unit cell a=9.5969 b=9.5969 c=5.5197 alpha=90.00 beta=90.00 gamma=120.00
Space group P-62m (No. 189)
Inequivalent atoms, fractional coordinates:
Sm: 0.0000 0.4147 0.0000 (multiplicity 3)
Ho: 0.0000 0.6280 0.5000 (multiplicity 3)
Ho: 0.3333 0.6667 0.5000 (multiplicity 2)
Th: 0.0000 0.2615 0.5000 (multiplicity 3)

## Properties
- Energy relative to the elements: 0.842 eV/atom
- DOS(E_F): 1.281 states/eV/atom

***

Values for calculated density, g/cm3, ordered as above
6.783, 7.097, 10.944, 7.371, 7.529, 7.437